(1)
Sr2ZnAu PBEsol relaxed; symmetry = P4/mmm (123); total DFT energy (no corrections) = -2.698 eV per atom; polymorph energy (0 for the lowest one) = 69 meV/atom; formation energy from the elements = -0.40 eV/atom
1.0
3.810 0.000 0.000
0.000 3.810 0.000
0.000 0.000 7.507
Sr Zn Au
2 1 1
direct
0.000 0.000 0.244
0.000 0.000 0.756
0.500 0.500 0.500
0.500 0.500 0.000

=====

(2)
SrZn2Au PBEsol relaxed; symmetry = R-3m (166); total DFT energy (no corrections) = -2.609 eV per atom; formation energy from the elements = -0.38 eV/atom
1.0
2.214 1.278 5.253
-2.214 1.278 5.253
0.000 -2.556 5.253
Sr Zn Au
1 2 1
direct
0.000 0.000 0.000
0.199 0.199 0.199
0.801 0.801 0.801
0.500 0.500 0.500